[1]
# Pm4PrHo2, optimized geometry, DFT GGA-PBE
data_Pm4PrHo2
_symmetry_space_group_name_H-M 'P 1 21/m 1'
_symmetry_Int_Tables_number 11
_cell_length_a 6.193
_cell_length_b 6.665
_cell_length_c 11.760
_cell_angle_alpha 90.00
_cell_angle_beta 104.57
_cell_angle_gamma 90.00
loop_
_symmetry_equiv_pos_as_xyz
'x,y,z'
'-x,-y,-z'
'-x,y+1/2,-z'
'x,-y+1/2,z'
loop_
_atom_site_label
_atom_site_type_symbol
_atom_site_fract_x
_atom_site_fract_y
_atom_site_fract_z
Pm1 Pm 0.141 0.002 0.288
Pm2 Pm 0.206 0.250 0.561
Pm3 Pm 0.345 0.750 0.849
Pr1 Pr 0.485 0.750 0.150
Ho1 Ho 0.099 0.250 0.001
Ho2 Ho 0.355 0.750 0.561
# Formation energy from the elements: 11.5 kJ per mole of atoms
# DFT total energy: -4.59 eV per atom
# N(E_F): 10.56 states/eV/f.u.
# E above lowest polymorph: 0.42 eV/f.u.
# Spin magnetization: 0.000 μB per atom

[2]
# Pm2Pr3Ho6Pu, optimized geometry, DFT GGA-PBE
data_Pm2Pr3Ho6Pu
_symmetry_space_group_name_H-M 'C 1 2/m 1'
_symmetry_Int_Tables_number 12
_cell_length_a 6.220
_cell_length_b 10.780
_cell_length_c 11.757
_cell_angle_alpha 90.00
_cell_angle_beta 100.18
_cell_angle_gamma 90.00
loop_
_symmetry_equiv_pos_as_xyz
'x,y,z'
'-x,-y,-z'
'-x,y,-z'
'x,-y,z'
'x+1/2,y+1/2,z'
'-x+1/2,-y+1/2,-z'
'-x+1/2,y+1/2,-z'
'x+1/2,-y+1/2,z'
loop_
_atom_site_label
_atom_site_type_symbol
_atom_site_fract_x
_atom_site_fract_y
_atom_site_fract_z
Pm1 Pm 0.000 0.167 0.000
Pr1 Pr 0.000 0.000 0.500
Pr2 Pr 0.000 0.333 0.500
Ho1 Ho 0.246 0.336 0.246
Ho2 Ho 0.247 0.500 0.754
Pu1 Pu 0.000 0.500 0.000
# Formation energy from the elements: 4.2 kJ per mole of atoms
# DFT total energy: -5.43 eV per atom
# N(E_F): 22.42 states/eV/f.u.
# Spin magnetization: 0.538 μB per atom

[3]
# PmPrHoPu, optimized geometry, DFT GGA-PBE
data_PmPrHoPu
_symmetry_space_group_name_H-M 'F -4 3 m'
_symmetry_Int_Tables_number 216
_symmetry_space_group_name_Hall 'F -4 2 3'
_cell_length_a 8.044
_cell_length_b 8.044
_cell_length_c 8.044
_cell_angle_alpha 90.00
_cell_angle_beta 90.00
_cell_angle_gamma 90.00
loop_
_atom_site_label
_atom_site_type_symbol
_atom_site_fract_x
_atom_site_fract_y
_atom_site_fract_z
Pm1 Pm 0.000 0.000 0.000
Pr1 Pr 0.000 0.000 0.500
Ho1 Ho 0.250 0.250 0.250
Pu1 Pu 0.250 0.250 0.750
# Formation energy from the elements: 20.9 kJ per mole of atoms
# DFT total energy: -6.89 eV per atom
# N(E_F): 13.37 states/eV/f.u.
# Spin magnetization: 1.889 μB per atom

[4]
# Pm4Pr3HoS8, optimized geometry, DFT GGA-PBE
data_Pm4Pr3HoS8
_symmetry_space_group_name_H-M 'R -3 m'
_symmetry_Int_Tables_number 166
_symmetry_space_group_name_Hall '-R 3 2"'
_cell_length_a 8.0974
_cell_length_b 8.0974
_cell_length_c 19.7844
_cell_angle_alpha 90.00
_cell_angle_beta 90.00
_cell_angle_gamma 120.00
loop_
_atom_site_label
_atom_site_type_symbol
_atom_site_fract_x
_atom_site_fract_y
_atom_site_fract_z
Pm1 Pm 0.0000 0.0000 0.0000
Pm2 Pm 0.0000 0.5000 0.0000
Pr1 Pr 0.0000 0.5000 0.5000
Ho1 Ho 0.0000 0.0000 0.5000
S1 S 0.0000 0.0000 0.2523
S2 S 0.0105 0.5052 0.2496
# DFT total energy: -6.45 eV per atom
# N(E_F): 8.63 states/eV/f.u.
# Formation energy (no corrections): -194 kJ/mol of atoms
# Spin magnetization: 0.000 μB per atom

[5]
# PmPr3Ho3S8, optimized geometry, DFT GGA-PBE
data_PmPr3Ho3S8
_symmetry_space_group_name_H-M 'R -3 m'
_symmetry_Int_Tables_number 166
_symmetry_space_group_name_Hall '-R 3 2"'
_cell_length_a 7.9385
_cell_length_b 7.9385
_cell_length_c 19.7833
_cell_angle_alpha 90.00
_cell_angle_beta 90.00
_cell_angle_gamma 120.00
loop_
_atom_site_label
_atom_site_type_symbol
_atom_site_fract_x
_atom_site_fract_y
_atom_site_fract_z
Pm1 Pm 0.0000 0.0000 0.0000
Pr1 Pr 0.0000 0.5000 0.5000
Ho1 Ho 0.0000 0.5000 0.0000
S1 S 0.0000 0.0000 0.2565
S2 S 0.0114 0.5057 0.2538
# DFT total energy: -6.43 eV per atom
# N(E_F): 6.75 states/eV/f.u.
# Formation energy (no corrections): -196 kJ/mol of atoms
# Spin magnetization: 0.000 μB per atom

[6]
# Pm3Pr3HoS8, optimized geometry, DFT GGA-PBE
data_Pm3Pr3HoS8
_symmetry_space_group_name_H-M 'R -3 m'
_symmetry_Int_Tables_number 166
_symmetry_space_group_name_Hall '-R 3 2"'
_cell_length_a 8.0868
_cell_length_b 8.0868
_cell_length_c 19.9369
_cell_angle_alpha 90.00
_cell_angle_beta 90.00
_cell_angle_gamma 120.00
loop_
_atom_site_label
_atom_site_type_symbol
_atom_site_fract_x
_atom_site_fract_y
_atom_site_fract_z
Pm1 Pm 0.0000 0.5000 0.0000
Pr1 Pr 0.0000 0.5000 0.5000
Ho1 Ho 0.0000 0.0000 0.0000
S1 S 0.0000 0.0000 0.2521
S2 S 0.0085 0.5043 0.7459
# DFT total energy: -6.47 eV per atom
# N(E_F): 6.90 states/eV/f.u.
# Formation energy (no corrections): -198 kJ/mol of atoms
# Spin magnetization: 0.000 μB per atom